P.
The following is a GGA-PBE calculation of an optimized crystal structure of SrNb2Sb2, from the Alexandria database.

a b c (Å): 5.9847 5.9847 5.9847
angles (deg): 127.31 127.31 77.74
Fractional coordinates of all 5 atoms:
Sr 0.0000 0.0000 0.0000
Nb 0.3740 0.3740 0.0000
Nb 0.6260 0.6260 0.0000
Sb 0.2500 0.7500 0.5000
Sb 0.7500 0.2500 0.5000

Computed properties:
M_tot: 0.0 μB/cell

Q.
The following is a GGA-PBE calculation of an optimized crystal structure of SrNb2Sb2, from the Alexandria database.

a b c (Å): 7.9388 7.9388 7.9388
angles (deg): 149.35 149.35 43.89
Fractional coordinates of all 5 atoms:
Sr 0.0000 0.0000 0.0000
Nb 0.2500 0.7500 0.5000
Nb 0.7500 0.2500 0.5000
Sb 0.3804 0.3804 0.0000
Sb 0.6196 0.6196 0.0000

Computed properties:
M_tot: 0.0 μB/cell

If we sort the structures by their calculated energies, the order from most to least stable is Q, P.